The following is a DFT calculation (PBE+U) of a relaxed structure of VPH4O6.

a b c (Å): 5.322 10.183 9.970
angles (deg): 90.00 119.32 90.00
Element x y z (fractional)
V: 0.123 0.173 0.216
V: 0.123 0.327 0.716
V: 0.877 0.673 0.284
V: 0.877 0.827 0.784
P: 0.267 0.641 0.674
P: 0.267 0.859 0.174
P: 0.733 0.141 0.826
P: 0.733 0.359 0.326
H: 0.090 0.040 0.748
H: 0.090 0.460 0.248
H: 0.361 0.162 0.529
H: 0.361 0.338 0.029
H: 0.364 0.555 0.294
H: 0.364 0.945 0.794
H: 0.408 0.695 0.025
H: 0.408 0.805 0.525
H: 0.592 0.195 0.475
H: 0.592 0.305 0.975
H: 0.636 0.055 0.206
H: 0.636 0.445 0.706
H: 0.639 0.662 0.971
H: 0.639 0.838 0.471
H: 0.910 0.540 0.752
H: 0.910 0.960 0.252
O: 0.061 0.670 0.740
O: 0.061 0.830 0.240
O: 0.152 0.554 0.252
O: 0.152 0.946 0.752
O: 0.154 0.703 0.513
O: 0.154 0.797 0.013
O: 0.291 0.011 0.166
O: 0.291 0.489 0.666
O: 0.404 0.149 0.443
O: 0.404 0.351 0.943
O: 0.432 0.201 0.716
O: 0.432 0.299 0.216
O: 0.568 0.701 0.784
O: 0.568 0.799 0.284
O: 0.596 0.649 0.057
O: 0.596 0.851 0.557
O: 0.709 0.511 0.334
O: 0.709 0.989 0.834
O: 0.846 0.203 0.987
O: 0.846 0.297 0.487
O: 0.848 0.054 0.248
O: 0.848 0.446 0.748
O: 0.939 0.170 0.760
O: 0.939 0.330 0.260

Values from the calculation:
**Crystal system**: monoclinic
**Total energy**: -303.549 eV/cell